one | ## Mg2GaIr2 (GGA-PBE)

Data for a relaxed structure of Mg2GaIr2.

extended XYZ file:
```
10
Lattice="-5.815 2.581 -0.589 -2.407 -5.746 -1.418 -0.726 -0.703 4.083" Properties=species:S:1:pos:R:3 pbc="T T T"
Mg -2.918 -3.745 1.003
Mg -6.238 -3.438 0.465
Mg -6.029 -0.123 1.073
Mg -2.710 -0.430 1.611
Ir -4.162 -4.012 -1.431
Ir -6.540 -1.460 -1.414
Ir -4.060 0.847 -0.576
Ir -1.681 -1.706 -0.593
Ga 0.000 0.000 0.000
Ga -4.111 -1.583 -1.004
```

Calculated values
Fermi-level density of states: 0.208 states/eV/atom



two | ## Mg2GaIr2 (GGA-PBE)

Data for a relaxed structure of Mg2GaIr2.

extended XYZ file:
```
5
Lattice="-1.938 1.163 3.225 0.461 -5.187 2.147 4.121 3.006 -1.012" Properties=species:S:1:pos:R:3 pbc="T T T"
Mg 1.055 1.176 2.614
Mg 1.589 -2.194 1.746
Ga 0.000 0.000 0.000
Ir -0.634 -3.191 3.174
Ir -0.843 -0.833 2.198
```

Calculated values
Fermi-level density of states: 0.528 states/eV/atom



three | ## Mg2GaIr2 (GGA-PBE)

Data for a relaxed structure of Mg2GaIr2.

extended XYZ file:
```
10
Lattice="7.398 0.000 0.000 0.000 7.398 0.000 0.000 0.000 2.943" Properties=species:S:1:pos:R:3 pbc="T T T"
Mg 2.768 6.467 0.000
Mg 6.467 4.631 0.000
Mg 4.631 0.932 0.000
Mg 0.932 2.768 0.000
Ir 1.289 4.988 1.472
Ir 4.988 6.109 1.472
Ir 6.109 2.410 1.472
Ir 2.410 1.289 1.472
Ga 0.000 0.000 0.000
Ga 3.699 3.699 0.000
```

Calculated values
Fermi-level density of states: 0.371 states/eV/atom



Least stable of them? three.



one | ## MgGaIr3 (GGA-PBE)

Data for a relaxed structure of MgGaIr3.

extended XYZ file:
```
5
Lattice="4.491 0.000 0.000 0.000 4.491 0.000 0.000 0.000 4.491" Properties=species:S:1:pos:R:3 pbc="T T T"
Mg 0.000 0.000 0.000
Ir 0.000 2.245 0.000
Ir 0.000 0.000 2.245
Ir 2.245 0.000 0.000
Ga 2.245 2.245 2.245
```

Calculated values
Fermi-level density of states: 0.658 states/eV/atom



two | ## MgGaIr3 (GGA-PBE)

Data for a relaxed structure of MgGaIr3.

extended XYZ file:
```
5
Lattice="-3.941 0.893 -2.110 -1.960 -3.489 2.184 -1.187 2.795 3.400" Properties=species:S:1:pos:R:3 pbc="T T T"
Mg -3.544 0.100 1.737
Ir -0.980 -1.744 1.092
Ir -0.593 1.398 1.700
Ir -1.971 0.446 -1.055
Ga 0.000 0.000 0.000
```

Calculated values
Fermi-level density of states: 1.089 states/eV/atom



Least stable of them? one.



one | ## MgPaGaIr (GGA-PBE)

Data for a relaxed structure of MgPaGaIr.

extended XYZ file:
```
4
Lattice="-1.368 -0.277 4.581 -4.624 -0.614 1.085 -1.503 -4.175 1.801" Properties=species:S:1:pos:R:3 pbc="T T T"
Mg -5.622 -3.800 5.601
Pa -1.874 -1.267 1.867
Ga 0.000 0.000 0.000
Ir -3.748 -2.533 3.734
```

Calculated values
Fermi-level density of states: 1.056 states/eV/atom



two | ## MgPaGaIr (GGA-PBE)

Data for a relaxed structure of MgPaGaIr.

extended XYZ file:
```
8
Lattice="3.904 0.000 0.000 0.000 3.904 0.000 0.000 0.000 10.939" Properties=species:S:1:pos:R:3 pbc="T T T"
Mg 0.000 0.000 5.469
Mg 1.952 1.952 5.469
Pa 0.000 1.952 9.044
Pa 1.952 0.000 1.895
Ga 0.000 1.952 3.539
Ga 1.952 0.000 7.400
Ir 1.952 0.000 9.927
Ir 0.000 1.952 1.012
```

Calculated values
Fermi-level density of states: 0.717 states/eV/atom



Least stable of them? two.



one | ## MgGaIrPd (GGA-PBE)

Data for a relaxed structure of MgGaIrPd.

extended XYZ file:
```
4
Lattice="4.379 0.000 0.000 2.190 3.793 0.000 2.190 1.264 3.576" Properties=species:S:1:pos:R:3 pbc="T T T"
Mg 0.000 0.000 0.000
Ir 2.190 1.264 0.894
Ga 4.379 2.528 1.788
Pd 6.569 3.793 2.682
```

Calculated values
Fermi-level density of states: 0.333 states/eV/atom



two | ## MgGaIrPd (GGA-PBE)

Data for a relaxed structure of MgGaIrPd.

extended XYZ file:
```
4
Lattice="3.073 0.000 0.000 0.000 4.325 0.000 0.000 0.000 4.462" Properties=species:S:1:pos:R:3 pbc="T T T"
Mg 0.000 2.163 2.231
Ga 0.000 0.000 0.000
Ir 1.536 2.163 0.000
Pd 1.536 0.000 2.231
```

Calculated values
Fermi-level density of states: 0.368 states/eV/atom



Least stable of them? one.



one | ## GaMoIr3 (GGA-PBE)

Data for a relaxed structure of GaMoIr3.

extended XYZ file:
```
5
Lattice="-0.311 4.736 0.157 -0.809 0.102 -4.678 -4.669 -0.333 0.801" Properties=species:S:1:pos:R:3 pbc="T T T"
Mo 0.000 0.000 0.000
Ir -0.405 0.051 -2.339
Ir -2.335 -0.167 0.400
Ir -0.156 2.368 0.078
Ga -2.895 2.252 -1.860
```

Calculated values
Fermi-level density of states: 0.910 states/eV/atom



two | ## GaMoIr3 (GGA-PBE)

Data for a relaxed structure of GaMoIr3.

extended XYZ file:
```
5
Lattice="4.491 0.000 0.000 0.000 4.491 0.000 0.000 0.000 4.491" Properties=species:S:1:pos:R:3 pbc="T T T"
Mo 2.245 2.245 2.245
Ir 0.000 2.245 0.000
Ir 0.000 0.000 2.245
Ir 2.245 0.000 0.000
Ga 0.000 0.000 0.000
```

Calculated values
Fermi-level density of states: 1.185 states/eV/atom



Least stable of them? one.



one | ## GaMo2Ir2 (GGA-PBE)

Data for a relaxed structure of GaMo2Ir2.

extended XYZ file:
```
10
Lattice="7.658 0.000 0.000 0.000 7.658 0.000 0.000 0.000 2.786" Properties=species:S:1:pos:R:3 pbc="T T T"
Mo 1.286 5.115 1.393
Mo 5.115 6.372 1.393
Mo 6.372 2.543 1.393
Mo 2.543 1.286 1.393
Ir 2.863 6.692 0.000
Ir 6.692 4.795 0.000
Ir 4.795 0.966 0.000
Ir 0.966 2.863 0.000
Ga 0.000 0.000 0.000
Ga 3.829 3.829 0.000
```

Calculated values
Fermi-level density of states: 0.824 states/eV/atom



two | ## GaMo2Ir2 (GGA-PBE)

Data for a relaxed structure of GaMo2Ir2.

extended XYZ file:
```
5
Lattice="3.590 0.000 0.000 0.000 3.590 0.000 1.795 1.795 6.574" Properties=species:S:1:pos:R:3 pbc="T T T"
Mo 3.590 1.795 3.287
Mo 1.795 3.590 3.287
Ir 1.795 1.795 1.289
Ir 3.590 3.590 5.285
Ga 0.000 0.000 0.000
```

Calculated values
Fermi-level density of states: 0.787 states/eV/atom



Least stable of them? two.



one | ## GaMo3Ir (GGA-PBE)

Data for a relaxed structure of GaMo3Ir.

extended XYZ file:
```
5
Lattice="-0.028 4.579 1.273 -1.423 1.206 -4.371 -4.534 -0.407 1.364" Properties=species:S:1:pos:R:3 pbc="T T T"
Mo -0.712 0.603 -2.185
Mo -2.267 -0.203 0.682
Mo -0.014 2.289 0.636
Ir 0.000 0.000 0.000
Ga -2.993 2.689 -0.867
```

Calculated values
Fermi-level density of states: 1.032 states/eV/atom



two | ## GaMo3Ir (GGA-PBE)

Data for a relaxed structure of GaMo3Ir.

extended XYZ file:
```
5
Lattice="-2.686 3.602 -0.260 -1.524 -1.424 -3.988 -3.274 -2.292 2.069" Properties=species:S:1:pos:R:3 pbc="T T T"
Mo -0.762 -0.712 -1.994
Mo -1.637 -1.146 1.035
Mo -1.343 1.801 -0.130
Ir -3.742 -0.057 -1.089
Ga 0.000 0.000 0.000
```

Calculated values
Fermi-level density of states: 1.090 states/eV/atom



Least stable of them? two.



one | ## GaIr3N (GGA-PBE)

Data for a relaxed structure of GaIr3N.

extended XYZ file:
```
5
Lattice="-4.196 1.824 -0.240 -1.349 -2.645 3.490 1.251 3.267 2.959" Properties=species:S:1:pos:R:3 pbc="T T T"
Ir -0.674 -1.322 1.745
Ir 0.625 1.633 1.480
Ir -2.098 0.912 -0.120
Ga 0.000 0.000 0.000
N -2.147 1.223 3.105
```

Calculated values
Fermi-level density of states: 1.741 states/eV/atom



two | ## GaIr3N (GGA-PBE)

Data for a relaxed structure of GaIr3N.

extended XYZ file:
```
5
Lattice="4.104 0.000 0.000 0.000 4.104 0.000 0.000 0.000 4.104" Properties=species:S:1:pos:R:3 pbc="T T T"
Ir 0.000 2.052 0.000
Ir 0.000 0.000 2.052
Ir 2.052 0.000 0.000
Ga 2.052 2.052 2.052
N 0.000 0.000 0.000
```

Calculated values
Fermi-level density of states: 1.268 states/eV/atom



Least stable of them? one.